No. 1
NiAgSbTe2: relaxed, GGA-PBE.

Properties
Space-group type: No. 123
Energy relative to the lowest polymorph listed for this composition, meV per atom: 0.0
Formation energy from raw total energies, eV/atom: 0.37

```
NiAgSbTe2
1.0
5.257 0.000 0.000
0.000 5.257 0.000
0.000 0.000 4.775
Ni Ag Sb Te
1 1 1 2
Cartesian
0.000 0.000 0.000
2.629 2.629 2.388
0.000 0.000 2.388
0.000 2.629 0.000
2.629 0.000 0.000
```

No. 2
NiAgSbTe2: relaxed, GGA-PBE.

Properties
Space-group type: No. 123
Energy relative to the lowest polymorph listed for this composition, meV per atom: 701.7
Formation energy from raw total energies, eV/atom: 1.07

```
NiAgSbTe2
1.0
5.449 0.000 0.000
0.000 5.449 0.000
0.000 0.000 5.233
Ni Ag Sb Te
1 1 1 2
Cartesian
0.000 0.000 0.000
2.725 2.725 2.616
2.725 2.725 0.000
0.000 2.725 2.616
2.725 0.000 2.616
```

No. 3
NiAgSb2Te: relaxed, GGA-PBE.

Properties
Space-group type: No. 123
Energy relative to the lowest polymorph listed for this composition, meV per atom: 722.7
Formation energy from raw total energies, eV/atom: 1.10

```
NiAgSb2Te
1.0
5.299 0.000 0.000
0.000 5.299 0.000
0.000 0.000 5.421
Ni Ag Sb Te
1 1 2 1
Cartesian
0.000 0.000 0.000
2.649 2.649 2.710
0.000 2.649 2.710
2.649 0.000 2.710
2.649 2.649 0.000
```

No. 4
NiAgSb2Te: relaxed, GGA-PBE.

Properties
Space-group type: No. 123
Energy relative to the lowest polymorph listed for this composition, meV per atom: 0.0
Formation energy from raw total energies, eV/atom: 0.37

```
NiAgSb2Te
1.0
4.939 0.000 0.000
0.000 4.939 0.000
0.000 0.000 5.279
Ni Ag Sb Te
1 1 2 1
Cartesian
0.000 0.000 0.000
2.470 2.470 2.639
0.000 2.470 0.000
2.470 0.000 0.000
0.000 0.000 2.639
```

No. 5
TlNi2AgSb: relaxed, GGA-PBE.

Properties
Space-group type: No. 123
Formation energy from raw total energies, eV/atom: 1.21

```
TlNi2AgSb
1.0
4.807 0.000 0.000
0.000 4.807 0.000
0.000 0.000 5.596
Tl Ni Ag Sb
1 2 1 1
Cartesian
0.000 0.000 0.000
0.000 2.403 0.000
2.403 0.000 0.000
2.403 2.403 2.798
0.000 0.000 2.798
```

No. 6
ZrNiAg2Sb: relaxed, GGA-PBE.

Properties
Space-group type: No. 123
Formation energy from raw total energies, eV/atom: 1.00

```
ZrNiAg2Sb
1.0
5.021 0.000 0.000
0.000 5.021 0.000
0.000 0.000 5.498
Zr Ni Ag Sb
1 1 2 1
Cartesian
0.000 0.000 0.000
2.511 2.511 0.000
0.000 2.511 2.749
2.511 0.000 2.749
0.000 0.000 2.749
```

No. 7
Sc5Ni2Ag: relaxed, GGA-PBE.

Properties
ΔH_f (0 K), eV/f.u.: -2.7
Space-group type: No. 140

```
Sc5Ni2Ag
1.0
-3.612 3.612 6.022
3.612 -3.612 6.022
3.612 3.612 -6.022
Sc Ni Ag
10 4 2
Cartesian
0.000 0.000 0.000
4.758 1.146 -1.655
1.146 2.466 -1.655
4.758 1.146 1.655
1.146 2.466 1.655
0.000 0.000 6.022
2.466 1.146 4.367
-1.146 2.466 4.367
2.466 1.146 7.678
-1.146 2.466 7.678
2.666 0.946 0.000
2.666 -0.946 6.022
0.946 4.558 0.000
0.946 2.666 6.022
0.000 0.000 3.011
0.000 0.000 9.033
```

No. 8
Sc4NiAg: relaxed, GGA-PBE.

Properties
ΔH_f (0 K), eV/f.u.: -0.3
Space-group type: No. 123
Energy relative to the lowest polymorph listed for this composition, meV per atom: 268.6

```
Sc4NiAg
1.0
4.490 0.000 0.000
0.000 4.490 0.000
0.000 0.000 6.756
Sc Ni Ag
4 1 1
Cartesian
0.000 2.245 1.505
0.000 2.245 5.250
2.245 0.000 1.505
2.245 0.000 5.250
0.000 0.000 0.000
2.245 2.245 3.378
```

No. 9
ScNiAg: relaxed, GGA-PBE.

Properties
ΔH_f (0 K), eV/f.u.: -0.4
Space-group type: No. 2
Energy relative to the lowest polymorph listed for this composition, meV per atom: 137.7

```
ScNiAg
1.0
4.471 0.000 0.000
2.232 3.878 0.000
2.227 1.295 6.157
Sc Ni Ag
2 2 2
Cartesian
2.231 1.296 2.179
6.698 3.878 3.979
2.228 1.291 4.828
6.701 3.883 1.329
4.463 2.586 5.469
4.467 2.588 0.688
```

No. 10
Sc11Ni4Ag9: relaxed, GGA-PBE.

Properties
ΔH_f (0 K), eV/f.u.: -8.1
Space-group type: No. 65

```
Sc11Ni4Ag9
1.0
6.717 -10.088 0.000
6.717 10.088 0.000
0.000 0.000 3.335
Sc Ni Ag
11 4 9
Cartesian
0.000 0.000 0.000
3.347 3.386 0.000
6.717 6.804 0.000
4.034 0.000 0.000
6.717 2.680 0.000
3.347 -3.386 0.000
10.088 3.386 0.000
6.717 -2.680 0.000
9.401 0.000 0.000
6.717 -6.804 0.000
10.088 -3.386 0.000
4.751 1.981 1.668
4.751 -1.981 1.668
8.684 1.981 1.668
8.684 -1.981 1.668
1.873 1.507 1.668
5.246 4.850 1.668
1.873 -1.507 1.668
8.189 4.850 1.668
6.717 0.000 1.668
5.246 -4.850 1.668
11.561 1.507 1.668
8.189 -4.850 1.668
11.561 -1.507 1.668
```

No. 11
Sc2Ni2Ag: relaxed, GGA-PBE.

Properties
ΔH_f (0 K), eV/f.u.: -1.1
Space-group type: No. 139
Energy relative to the lowest polymorph listed for this composition, meV per atom: 202.5

```
Sc2Ni2Ag
1.0
-1.742 1.742 7.280
1.742 -1.742 7.280
1.742 1.742 -7.280
Sc Ni Ag
2 2 1
Cartesian
0.000 0.000 1.711
0.000 0.000 12.850
1.742 0.000 3.640
0.000 1.742 3.640
0.000 0.000 7.280
```

No. 12
Sc8NiAg2: relaxed, GGA-PBE.

Properties
ΔH_f (0 K), eV/f.u.: -1.4
Space-group type: No. 8
Energy relative to the lowest polymorph listed for this composition, meV per atom: 43.9

```
Sc8NiAg2
1.0
3.479 -7.483 0.000
3.479 7.483 0.000
-2.971 0.000 4.691
Sc Ni Ag
8 1 2
Cartesian
0.000 0.000 0.000
1.439 2.890 0.673
2.111 5.762 2.225
1.276 1.661 3.965
1.439 -2.890 0.673
2.723 0.000 1.708
1.276 -1.661 3.965
2.111 -5.762 2.225
-0.656 0.000 3.936
3.409 3.221 3.016
3.409 -3.221 3.016
```